[1]
# RbY2In2

A geometry-optimized RbY2In2 structure (GGA-PBE, the Alexandria database).

Output
Excess energy over the best structure of this formula in the dataset, meV per atom: 0
Crystal system: tetragonal
Uncorrected energy, eV/atom: -4.071
ΔH_f (0 K), kcal/mol of atoms: -4.542
Volume, A^3/atom: 31.73

abc: 9.6458 9.6458 3.4103
angles: 90.00 90.00 90.00
Space group P4/mbm (No. 127)
Unique sites:
1 Rb 0.0000 0.0000 0.0000 [2 per cell]
2 Y 0.1255 0.3745 0.0000 [4 per cell]
3 In 0.1710 0.6710 0.5000 [4 per cell]

=====

[2]
# HgMoW2

A geometry-optimized HgMoW2 structure (GGA-PBE, the Alexandria database).

Output
Crystal system: orthorhombic
Uncorrected energy, eV/atom: -8.688
ΔH_f (0 K), kcal/mol of atoms: 13.194
Volume, A^3/atom: 17.09

abc: 3.3161 4.5396 9.0814
angles: 90.00 90.00 90.00
Space group Imm2 (No. 44)
Unique sites:
1 Hg 0.0000 0.0000 0.0000 [2 per cell]
2 Mo 0.0000 0.5000 0.7681 [2 per cell]
3 W 0.0000 0.0000 0.5036 [2 per cell]
4 W 0.0000 0.5000 0.2342 [2 per cell]

=====

[3]
# Rb2ScMo

A geometry-optimized Rb2ScMo structure (GGA-PBE, the Alexandria database).

Output
Excess energy over the best structure of this formula in the dataset, meV per atom: 409
Crystal system: cubic
Uncorrected energy, eV/atom: -3.057
ΔH_f (0 K), kcal/mol of atoms: 39.613
Volume, A^3/atom: 40.24

abc: 8.6351 8.6351 8.6351
angles: 90.00 90.00 90.00
Space group Fm-3m (No. 225)
Unique sites:
1 Rb 0.2500 0.2500 0.2500 [8 per cell]
2 Sc 0.0000 0.0000 0.0000 [4 per cell]
3 Mo 0.0000 0.0000 0.5000 [4 per cell]

=====

[4]
# TmInCoAu

A geometry-optimized TmInCoAu structure (GGA-PBE, the Alexandria database).

Output
Crystal system: cubic
Uncorrected energy, eV/atom: -4.725
ΔH_f (0 K), kcal/mol of atoms: -7.544
Volume, A^3/atom: 19.02

abc: 6.7259 6.7259 6.7259
angles: 90.00 90.00 90.00
Space group F-43m (No. 216)
Unique sites:
1 Tm 0.0000 0.0000 0.0000 [4 per cell]
2 In 0.0000 0.0000 0.5000 [4 per cell]
3 Co 0.2500 0.2500 0.7500 [4 per cell]
4 Au 0.2500 0.2500 0.2500 [4 per cell]

=====

[5]
# La2TbTm9

A geometry-optimized La2TbTm9 structure (GGA-PBE, the Alexandria database).

Output
Crystal system: tetragonal
Uncorrected energy, eV/atom: -4.524
ΔH_f (0 K), kcal/mol of atoms: 0.846
Volume, A^3/atom: 31.42

abc: 5.0057 5.0057 15.0462
angles: 90.00 90.00 90.00
Space group P4/mmm (No. 123)
Unique sites:
1 La 0.0000 0.0000 0.1661 [2 per cell]
2 Tb 0.0000 0.0000 0.5000 [1 per cell]
3 Tm 0.0000 0.5000 0.0000 [2 per cell]
4 Tm 0.0000 0.5000 0.3374 [4 per cell]
5 Tm 0.5000 0.5000 0.1690 [2 per cell]
6 Tm 0.5000 0.5000 0.5000 [1 per cell]

=====

[6]
# LaTcI

A geometry-optimized LaTcI structure (GGA-PBE, the Alexandria database).

Output
Crystal system: trigonal
Uncorrected energy, eV/atom: -6.344
Volume, A^3/atom: 33.01
Formation energy without anion corrections, meV/atom: -729

abc: 4.2082 4.2082 38.7479
angles: 90.00 90.00 120.00
Space group R-3m (No. 166, hexagonal axes)
Unique sites:
1 La 0.0000 0.0000 0.0578 [6 per cell]
2 Tc 0.0000 0.0000 0.3390 [6 per cell]
3 I 0.0000 0.0000 0.2177 [6 per cell]

=====

[7]
# Nb2FeTcH

A geometry-optimized Nb2FeTcH structure (GGA-PBE, the Alexandria database).

Output
Excess energy over the best structure of this formula in the dataset, meV per atom: 0
Crystal system: tetragonal
Uncorrected energy, eV/atom: -8.597
Volume, A^3/atom: 12.86

abc: 4.3958 4.3958 3.3271
angles: 90.00 90.00 90.00
Space group P4/mmm (No. 123)
Unique sites:
1 Nb 0.0000 0.5000 0.0000 [2 per cell]
2 Fe 0.0000 0.0000 0.5000 [1 per cell]
3 Tc 0.5000 0.5000 0.5000 [1 per cell]
4 H 0.0000 0.0000 0.0000 [1 per cell]

=====

[8]
# Tl2CuBi

A geometry-optimized Tl2CuBi structure (GGA-PBE, the Alexandria database).

Output
Excess energy over the best structure of this formula in the dataset, meV per atom: 29
Crystal system: tetragonal
Uncorrected energy, eV/atom: -2.830
ΔH_f (0 K), kcal/mol of atoms: 8.022
Volume, A^3/atom: 30.15

abc: 5.2541 5.2541 17.4743
angles: 90.00 90.00 90.00
Space group I-42d (No. 122)
Unique sites:
1 Tl 0.1678 0.2500 0.1250 [8 per cell]
2 Cu 0.0000 0.0000 0.0000 [4 per cell]
3 Bi 0.0000 0.0000 0.5000 [4 per cell]

=====

[9]
# LaTmGe4

A geometry-optimized LaTmGe4 structure (GGA-PBE, the Alexandria database).

Output
Crystal system: orthorhombic
Uncorrected energy, eV/atom: -5.168
ΔH_f (0 K), kcal/mol of atoms: -12.060
Volume, A^3/atom: 23.48

abc: 8.9319 15.3570 4.1078
angles: 90.00 90.00 90.00
Space group Pbam (No. 55)
Unique sites:
1 La 0.1219 0.1375 0.0000 [4 per cell]
2 Tm 0.1470 0.4151 0.0000 [4 per cell]
3 Ge 0.0477 0.2936 0.5000 [4 per cell]
4 Ge 0.1139 0.5635 0.5000 [4 per cell]
5 Ge 0.1253 0.9637 0.5000 [4 per cell]
6 Ge 0.1741 0.8026 0.5000 [4 per cell]